No. 1
First-principles (PBE) data for a geometry-optimized Na3Ce3SnS8 structure, as listed in Alexandria via LeMat-Bulk.

## Properties
Its space-group type is No. 166. For the total DFT energy (no corrections), the calculation gives -5.407 eV/atom. Its calculated density is 3.73 g/cm3.

The structure in POSCAR format:
```
Na3Ce3SnS8
1.0
4.1132 2.3747 6.5695
-4.1132 2.3747 6.5695
0.0000 -4.7495 6.5695
Na Ce Sn S
3 3 1 8
Cartesian
-2.0566 -1.1874 6.5695
-2.0566 1.1874 13.1389
0.0000 2.3747 6.5695
-4.1132 0.0000 9.8542
-2.0566 1.1874 3.2847
2.0566 1.1874 3.2847
0.0000 0.0000 9.8542
-2.0826 -1.2024 11.3008
0.0000 0.0000 4.8192
0.0000 -2.4047 8.4076
-2.0826 1.2024 8.4076
2.0826 -1.2024 11.3008
0.0000 2.4047 11.3008
0.0000 0.0000 14.8893
2.0826 1.2024 8.4076
```



No. 2
First-principles (PBE) data for a geometry-optimized Na2CeSnS4 structure, as listed in Alexandria via LeMat-Bulk.

## Properties
Its space-group type is No. 10. For the total DFT energy (no corrections), the calculation gives -4.899 eV/atom. Its calculated density is 3.72 g/cm3.

The structure in POSCAR format:
```
Na2CeSnS4
1.0
6.9652 0.0000 0.0000
0.0000 4.0899 0.0000
-2.3700 0.0000 6.7788
Na Ce Sn S
2 1 1 4
Cartesian
0.0000 0.0000 0.0000
-1.1850 2.0449 3.3894
2.2976 0.0000 3.3894
3.4826 2.0449 0.0000
0.1324 0.0000 5.0240
1.2673 2.0449 1.7953
3.3278 2.0449 4.9835
4.4628 0.0000 1.7547
```



No. 3
First-principles (PBE) data for a geometry-optimized NaSr2CeS4 structure, as listed in Alexandria via LeMat-Bulk.

## Properties
Its space-group type is No. 10. For the total DFT energy (no corrections), the calculation gives -5.299 eV/atom. Its calculated density is 3.71 g/cm3.

The structure in POSCAR format:
```
NaSr2CeS4
1.0
7.2222 0.0000 0.0000
0.0000 4.2231 0.0000
-2.3312 0.0000 6.8450
Na Sr Ce S
1 2 1 4
Cartesian
0.0000 0.0000 0.0000
-1.1656 2.1115 3.4225
2.4455 0.0000 3.4225
3.6111 2.1115 0.0000
0.0963 0.0000 5.2222
1.3172 2.1115 1.6619
3.5738 2.1115 5.1831
4.7948 0.0000 1.6228
```



No. 4
First-principles (PBE) data for a geometry-optimized Na3TbCe2S6 structure, as listed in Alexandria via LeMat-Bulk.

## Properties
Its space-group type is No. 12. For the total DFT energy (no corrections), the calculation gives -5.535 eV/atom. Its calculated density is 4.00 g/cm3.

The structure in POSCAR format:
```
Na3TbCe2S6
1.0
3.5478 -6.1455 0.0000
3.5478 6.1455 0.0000
-2.3670 0.0000 6.6642
Na Tb Ce S
3 1 2 6
Cartesian
0.0000 0.0000 0.0000
3.5478 2.0428 0.0000
3.5478 -2.0428 0.0000
2.3643 0.0000 3.3321
2.3643 4.0968 3.3321
2.3643 -4.0968 3.3321
1.2052 2.0083 1.7913
0.0455 0.0000 4.8659
1.2052 -2.0083 1.7913
3.5235 2.0083 4.8729
4.6832 0.0000 1.7983
3.5235 -2.0083 4.8729
```



No. 5
First-principles (PBE) data for a geometry-optimized Na4Tb3CeS8 structure, as listed in Alexandria via LeMat-Bulk.

## Properties
Its space-group type is No. 166. For the total DFT energy (no corrections), the calculation gives -5.446 eV/atom. Its calculated density is 4.25 g/cm3.

The structure in POSCAR format:
```
Na4Tb3CeS8
1.0
4.0401 2.3325 6.6746
-4.0401 2.3325 6.6746
0.0000 -4.6651 6.6746
Na Tb Ce S
4 3 1 8
Cartesian
0.0000 0.0000 0.0000
-2.0200 -1.1663 6.6746
-2.0200 1.1663 13.3492
0.0000 2.3325 6.6746
-4.0401 0.0000 10.0119
-2.0200 1.1663 3.3373
2.0200 1.1663 3.3373
0.0000 0.0000 10.0119
-2.0570 -1.1876 11.5429
0.0000 0.0000 4.8535
0.0000 -2.3753 8.4809
-2.0570 1.1876 8.4809
2.0570 -1.1876 11.5429
0.0000 2.3753 11.5429
0.0000 0.0000 15.1703
2.0570 1.1876 8.4808
```



No. 6
First-principles (PBE) data for a geometry-optimized Na3TbCe3S8 structure, as listed in Alexandria via LeMat-Bulk.

## Properties
Its space-group type is No. 166. For the total DFT energy (no corrections), the calculation gives -5.741 eV/atom. Its calculated density is 3.87 g/cm3.

The structure in POSCAR format:
```
Na3TbCe3S8
1.0
4.1015 2.3680 6.6554
-4.1015 2.3680 6.6554
0.0000 -4.7360 6.6554
Na Tb Ce S
3 1 3 8
Cartesian
-2.0508 -1.1840 6.6554
-2.0508 1.1840 13.3107
0.0000 2.3680 6.6554
0.0000 0.0000 9.9831
-4.1015 0.0000 9.9831
-2.0508 1.1840 3.3277
2.0508 1.1840 3.3277
0.0000 0.0000 4.8701
-2.0234 -1.1682 11.4576
0.0000 -2.3365 8.5086
-2.0234 1.1682 8.5086
2.0234 -1.1682 11.4576
0.0000 2.3365 11.4576
2.0234 1.1682 8.5086
0.0000 0.0000 15.0960
```



no.,ΔE_f (raw) (eV/atom)
1,-1.49
2,-1.26
3,-1.91
4,-1.77
5,-1.81
6,-1.78